# Zr4InSbN2 | OQMD | GGA-PBE | relaxed
data_Zr4InSbN2
_space_group_name_H-M_alt 'P -6 m 2'
_space_group_IT_number 187
_space_group_name_Hall 'P -6 2'
_cell_length_a 3.3760
_cell_length_b 3.3760
_cell_length_c 14.2353
_cell_angle_alpha 90.00
_cell_angle_beta 90.00
_cell_angle_gamma 120.00
loop_
_atom_site_label
_atom_site_fract_x
_atom_site_fract_y
_atom_site_fract_z
Zr1 0.0000 0.0000 0.1580
Zr2 0.6667 0.3333 0.3286
In1 0.0000 0.0000 0.5000
Sb1 0.6667 0.3333 0.0000
N1 0.3333 0.6667 0.2461
# * M_tot: 0.0011 μB/atom
# * electronic total energy: -66.2 eV/cell

---

# LuScCuSi | OQMD | GGA-PBE | relaxed
data_LuScCuSi
_space_group_name_H-M_alt 'F -4 3 m'
_space_group_IT_number 216
_space_group_name_Hall 'F -4 2 3'
_cell_length_a 6.640
_cell_length_b 6.640
_cell_length_c 6.640
_cell_angle_alpha 90.00
_cell_angle_beta 90.00
_cell_angle_gamma 90.00
loop_
_atom_site_label
_atom_site_fract_x
_atom_site_fract_y
_atom_site_fract_z
Lu1 0.000 0.000 0.000
Sc1 0.250 0.250 0.250
Cu1 0.250 0.250 0.750
Si1 0.000 0.000 0.500
# * M_tot: 0.0061 μB/atom
# * electronic total energy: -78.7 eV/cell

---

# CoPdW | OQMD | GGA-PBE | relaxed
data_CoPdW
_space_group_name_H-M_alt 'F -4 3 m'
_space_group_IT_number 216
_space_group_name_Hall 'F -4 2 3'
_cell_length_a 5.717
_cell_length_b 5.717
_cell_length_c 5.717
_cell_angle_alpha 90.00
_cell_angle_beta 90.00
_cell_angle_gamma 90.00
loop_
_atom_site_label
_atom_site_fract_x
_atom_site_fract_y
_atom_site_fract_z
Co1 0.000 0.000 0.000
Pd1 0.250 0.250 0.750
W1 0.250 0.250 0.250
# * M_tot: 0.2036 μB/atom
# * formation energy from the elements: 0.574 eV per atom
# * electronic total energy: -94.1 eV/cell

---

# In2Co2Mo3 | OQMD | GGA-PBE | relaxed
data_In2Co2Mo3
_space_group_name_H-M_alt 'R 3 m'
_space_group_IT_number 160
_space_group_name_Hall 'R 3 -2"'
_cell_length_a 4.3637
_cell_length_b 4.3637
_cell_length_c 19.6209
_cell_angle_alpha 90.00
_cell_angle_beta 90.00
_cell_angle_gamma 120.00
loop_
_atom_site_label
_atom_site_fract_x
_atom_site_fract_y
_atom_site_fract_z
In1 0.0000 0.0000 0.0000
In2 0.0000 0.0000 0.4225
Co1 0.0000 0.0000 0.1449
Co2 0.0000 0.0000 0.7072
Mo1 0.0000 0.0000 0.2714
Mo2 0.0000 0.0000 0.5666
Mo3 0.0000 0.0000 0.8482
# * M_tot: 0.1797 μB/atom
# * electronic total energy: -152.5 eV/cell

---

# LuZnInCu | OQMD | GGA-PBE | relaxed
data_LuZnInCu
_space_group_name_H-M_alt 'F -4 3 m'
_space_group_IT_number 216
_space_group_name_Hall 'F -4 2 3'
_cell_length_a 6.712
_cell_length_b 6.712
_cell_length_c 6.712
_cell_angle_alpha 90.00
_cell_angle_beta 90.00
_cell_angle_gamma 90.00
loop_
_atom_site_label
_atom_site_fract_x
_atom_site_fract_y
_atom_site_fract_z
Lu1 0.000 0.000 0.000
Zn1 0.250 0.250 0.750
In1 0.250 0.250 0.250
Cu1 0.000 0.000 0.500
# * M_tot: 0.0001 μB/atom
# * electronic total energy: -51.2 eV/cell

---

# NpAlZn | OQMD | GGA-PBE | relaxed
data_NpAlZn
_space_group_name_H-M_alt 'F -4 3 m'
_space_group_IT_number 216
_space_group_name_Hall 'F -4 2 3'
_cell_length_a 6.455
_cell_length_b 6.455
_cell_length_c 6.455
_cell_angle_alpha 90.00
_cell_angle_beta 90.00
_cell_angle_gamma 90.00
loop_
_atom_site_label
_atom_site_fract_x
_atom_site_fract_y
_atom_site_fract_z
Np1 0.000 0.000 0.000
Al1 0.000 0.000 0.500
Zn1 0.250 0.250 0.750
# * M_tot: 1.3290 μB/atom
# * electronic total energy: -67.6 eV/cell

---

# CdFeSiHg | OQMD | GGA-PBE | relaxed
data_CdFeSiHg
_space_group_name_H-M_alt 'F -4 3 m'
_space_group_IT_number 216
_space_group_name_Hall 'F -4 2 3'
_cell_length_a 6.582
_cell_length_b 6.582
_cell_length_c 6.582
_cell_angle_alpha 90.00
_cell_angle_beta 90.00
_cell_angle_gamma 90.00
loop_
_atom_site_label
_atom_site_fract_x
_atom_site_fract_y
_atom_site_fract_z
Cd1 0.000 0.000 0.000
Fe1 0.250 0.250 0.750
Si1 0.000 0.000 0.500
Hg1 0.250 0.250 0.250
# * M_tot: 0.5882 μB/atom
# * electronic total energy: -50.2 eV/cell

---

# TaBIr | OQMD | GGA-PBE | relaxed
data_TaBIr
_space_group_name_H-M_alt 'F -4 3 m'
_space_group_IT_number 216
_space_group_name_Hall 'F -4 2 3'
_cell_length_a 5.794
_cell_length_b 5.794
_cell_length_c 5.794
_cell_angle_alpha 90.00
_cell_angle_beta 90.00
_cell_angle_gamma 90.00
loop_
_atom_site_label
_atom_site_fract_x
_atom_site_fract_y
_atom_site_fract_z
Ta1 0.000 0.000 0.000
B1 0.250 0.250 0.750
Ir1 0.250 0.250 0.250
# * M_tot: 0.0005 μB/atom
# * electronic total energy: -102.6 eV/cell

---

# HfTcNO | OQMD | GGA-PBE | relaxed
data_HfTcNO
_space_group_name_H-M_alt 'P c a 21'
_space_group_IT_number 29
_cell_length_a 6.308
_cell_length_b 7.009
_cell_length_c 4.502
_cell_angle_alpha 90.00
_cell_angle_beta 90.00
_cell_angle_gamma 90.00
loop_
_space_group_symop_operation_xyz
'x,y,z'
'-x,-y,z+1/2'
'-x+1/2,y,z+1/2'
'x+1/2,-y,z'
loop_
_atom_site_label
_atom_site_fract_x
_atom_site_fract_y
_atom_site_fract_z
Hf1 0.074 0.140 0.000
Tc1 0.161 0.675 0.994
N1 0.088 0.135 0.504
O1 0.002 0.421 0.084
# * M_tot: 0.0015 μB/atom
# * electronic total energy: -153.4 eV/cell

---

# FeCuPbW | OQMD | GGA-PBE | relaxed
data_FeCuPbW
_space_group_name_H-M_alt 'F -4 3 m'
_space_group_IT_number 216
_space_group_name_Hall 'F -4 2 3'
_cell_length_a 6.378
_cell_length_b 6.378
_cell_length_c 6.378
_cell_angle_alpha 90.00
_cell_angle_beta 90.00
_cell_angle_gamma 90.00
loop_
_atom_site_label
_atom_site_fract_x
_atom_site_fract_y
_atom_site_fract_z
Fe1 0.000 0.000 0.000
Cu1 0.250 0.250 0.750
Pb1 0.000 0.000 0.500
W1 0.250 0.250 0.250
# * M_tot: 0.3090 μB/atom
# * electronic total energy: -101.1 eV/cell

---

# Sc3NiC2 | OQMD | GGA-PBE | relaxed
data_Sc3NiC2
_space_group_name_H-M_alt 'P 63/m m c'
_space_group_IT_number 194
_space_group_name_Hall '-P 6c 2c'
_cell_length_a 3.2822
_cell_length_b 3.2822
_cell_length_c 18.7262
_cell_angle_alpha 90.00
_cell_angle_beta 90.00
_cell_angle_gamma 120.00
loop_
_atom_site_label
_atom_site_fract_x
_atom_site_fract_y
_atom_site_fract_z
Sc1 0.0000 0.0000 0.0000
Sc2 0.3333 0.6667 0.1392
Ni1 0.0000 0.0000 0.2500
C1 0.3333 0.6667 0.5766
# * M_tot: 0.0219 μB/atom
# * electronic total energy: -89.5 eV/cell

---

# LaCuNiSn2 | OQMD | GGA-PBE | relaxed
data_LaCuNiSn2
_space_group_name_H-M_alt 'P 4/n m m'
_space_group_IT_number 129
_cell_length_a 4.495
_cell_length_b 4.495
_cell_length_c 10.443
_cell_angle_alpha 90.00
_cell_angle_beta 90.00
_cell_angle_gamma 90.00
loop_
_space_group_symop_operation_xyz
'x,y,z'
'-x,-y,-z'
'-y+1/2,x,z'
'y+1/2,-x,-z'
'-x+1/2,-y+1/2,z'
'x+1/2,y+1/2,-z'
'y,-x+1/2,z'
'-y,x+1/2,-z'
'x+1/2,-y,-z'
'-x+1/2,y,z'
'-y,-x,-z'
'y,x,z'
'-x,y+1/2,-z'
'x,-y+1/2,z'
'y+1/2,x+1/2,-z'
'-y+1/2,-x+1/2,z'
loop_
_atom_site_label
_atom_site_fract_x
_atom_site_fract_y
_atom_site_fract_z
La1 0.250 0.250 0.245
Cu1 0.250 0.750 0.000
Ni1 0.250 0.250 0.624
Sn1 0.250 0.250 0.866
Sn2 0.250 0.750 0.500
# * M_tot: 0.0001 μB/atom
# * electronic total energy: -49.9 eV/cell

---

# Ta8Ni2C3N3 | OQMD | GGA-PBE | relaxed
data_Ta8Ni2C3N3
_space_group_name_H-M_alt 'P -3 m 1'
_space_group_IT_number 164
_space_group_name_Hall '-P 3 2"'
_cell_length_a 3.1260
_cell_length_b 3.1260
_cell_length_c 23.0746
_cell_angle_alpha 90.00
_cell_angle_beta 90.00
_cell_angle_gamma 120.00
loop_
_atom_site_label
_atom_site_fract_x
_atom_site_fract_y
_atom_site_fract_z
Ta1 0.0000 0.0000 0.1628
Ta2 0.0000 0.0000 0.3337
Ta3 0.3333 0.6667 0.5578
Ta4 0.3333 0.6667 0.9412
Ni1 0.3333 0.6667 0.7536
C1 0.0000 0.0000 0.5000
C2 0.3333 0.6667 0.3860
N1 0.0000 0.0000 0.0000
N2 0.3333 0.6667 0.1125
# * M_tot: 0.0007 μB/atom
# * electronic total energy: -167.8 eV/cell

---

# TmScTe3Pb | OQMD | GGA-PBE | relaxed
data_TmScTe3Pb
_space_group_name_H-M_alt 'C m c m'
_space_group_IT_number 63
_space_group_name_Hall '-C 2c 2'
_cell_length_a 4.257
_cell_length_b 15.195
_cell_length_c 11.635
_cell_angle_alpha 90.00
_cell_angle_beta 90.00
_cell_angle_gamma 90.00
loop_
_atom_site_label
_atom_site_fract_x
_atom_site_fract_y
_atom_site_fract_z
Tm1 0.000 0.000 0.000
Sc1 0.000 0.456 0.250
Te1 0.000 0.081 0.250
Te2 0.000 0.359 0.039
Pb1 0.000 0.210 0.750
# * M_tot: 0.0089 μB/atom
# * electronic total energy: -116.4 eV/cell

---

# MgCoNiSe3 | OQMD | GGA-PBE | relaxed
data_MgCoNiSe3
_space_group_name_H-M_alt 'C m c m'
_space_group_IT_number 63
_space_group_name_Hall '-C 2c 2'
_cell_length_a 3.590
_cell_length_b 12.374
_cell_length_c 9.266
_cell_angle_alpha 90.00
_cell_angle_beta 90.00
_cell_angle_gamma 90.00
loop_
_atom_site_label
_atom_site_fract_x
_atom_site_fract_y
_atom_site_fract_z
Mg1 0.000 0.232 0.250
Co1 0.000 0.462 0.750
Ni1 0.000 0.000 0.000
Se1 0.000 0.079 0.750
Se2 0.000 0.358 0.545
# * M_tot: 0.1211 μB/atom
# * electronic total energy: -106.2 eV/cell

---

# HoTaNO | OQMD | GGA-PBE | relaxed
data_HoTaNO
_space_group_name_H-M_alt 'P c a 21'
_space_group_IT_number 29
_cell_length_a 6.247
_cell_length_b 7.486
_cell_length_c 5.078
_cell_angle_alpha 90.00
_cell_angle_beta 90.00
_cell_angle_gamma 90.00
loop_
_space_group_symop_operation_xyz
'x,y,z'
'-x,-y,z+1/2'
'-x+1/2,y,z+1/2'
'x+1/2,-y,z'
loop_
_atom_site_label
_atom_site_fract_x
_atom_site_fract_y
_atom_site_fract_z
Ho1 0.064 0.138 0.000
Ta1 0.131 0.660 0.002
N1 0.074 0.146 0.505
O1 0.047 0.563 0.618
# * M_tot: 0.1137 μB/atom
# * electronic total energy: -143.8 eV/cell

---

# ZnAg5 | OQMD | GGA-PBE | relaxed
data_ZnAg5
_space_group_name_H-M_alt 'P -6 2 m'
_space_group_IT_number 189
_space_group_name_Hall 'P -6 -2'
_cell_length_a 5.0389
_cell_length_b 5.0389
_cell_length_c 4.7700
_cell_angle_alpha 90.00
_cell_angle_beta 90.00
_cell_angle_gamma 120.00
loop_
_atom_site_label
_atom_site_fract_x
_atom_site_fract_y
_atom_site_fract_z
Zn1 0.0000 0.0000 0.0000
Ag1 0.0000 0.3277 0.5000
Ag2 0.3333 0.6667 0.0000
# * formation energy from the elements: -0.020 eV per atom
# * electronic total energy: -15.5 eV/cell

---

# LaHoAg2Pb2 | OQMD | GGA-PBE | relaxed
data_LaHoAg2Pb2
_space_group_name_H-M_alt 'P 3 m 1'
_space_group_IT_number 156
_cell_length_a 4.8696
_cell_length_b 4.8696
_cell_length_c 7.6355
_cell_angle_alpha 90.00
_cell_angle_beta 90.00
_cell_angle_gamma 120.00
loop_
_space_group_symop_operation_xyz
'x,y,z'
'-y,x-y,z'
'-x+y,-x,z'
'-y,-x,z'
'-x+y,y,z'
'x,x-y,z'
loop_
_atom_site_label
_atom_site_fract_x
_atom_site_fract_y
_atom_site_fract_z
La1 0.0000 0.0000 0.0000
Ho1 0.0000 0.0000 0.5023
Ag1 0.3333 0.6667 0.2143
Ag2 0.6667 0.3333 0.6819
Pb1 0.3333 0.6667 0.7748
Pb2 0.6667 0.3333 0.2882
# * M_tot: 0.0009 μB/atom
# * electronic total energy: -25.3 eV/cell

---

# SrCoPb2 | OQMD | GGA-PBE | relaxed
data_SrCoPb2
_space_group_name_H-M_alt 'F -4 3 m'
_space_group_IT_number 216
_space_group_name_Hall 'F -4 2 3'
_cell_length_a 7.499
_cell_length_b 7.499
_cell_length_c 7.499
_cell_angle_alpha 90.00
_cell_angle_beta 90.00
_cell_angle_gamma 90.00
loop_
_atom_site_label
_atom_site_fract_x
_atom_site_fract_y
_atom_site_fract_z
Sr1 0.000 0.000 0.000
Co1 0.250 0.250 0.250
Pb1 0.000 0.000 0.500
Pb2 0.250 0.250 0.750
# * M_tot: 0.0016 μB/atom
# * electronic total energy: -59.3 eV/cell

---

# Np2S3 | OQMD | GGA-PBE | relaxed
data_Np2S3
_space_group_name_H-M_alt 'P n m a'
_space_group_IT_number 62
_cell_length_a 10.474
_cell_length_b 3.866
_cell_length_c 10.326
_cell_angle_alpha 90.00
_cell_angle_beta 90.00
_cell_angle_gamma 90.00
loop_
_space_group_symop_operation_xyz
'x,y,z'
'-x,-y,-z'
'-x+1/2,-y,z+1/2'
'x+1/2,y,-z+1/2'
'x+1/2,-y+1/2,-z+1/2'
'-x+1/2,y+1/2,z+1/2'
'-x,y+1/2,-z'
'x,-y+1/2,z'
loop_
_atom_site_label
_atom_site_fract_x
_atom_site_fract_y
_atom_site_fract_z
Np1 0.008 0.250 0.183
Np2 0.186 0.250 0.508
S1 0.051 0.750 0.369
S2 0.126 0.250 0.945
S3 0.229 0.750 0.703
# * M_tot: 1.5802 μB/atom
# * electronic total energy: -182.5 eV/cell